## SrNbTl2O6 (PBE)

Data for an optimized crystal structure of SrNbTl2O6.

E_form (uncorrected)   -1657 kJ/mol of formula units
E_tot   -6.341 eV per atom

abc: 7.4638 7.7627 7.7627
angles: 77.00 68.66 68.66
Sites, in units of the cell vectors:
Sr (0.2500, 0.8021, 0.1979)
Sr (0.7500, 0.1979, 0.8021)
Nb (0.2500, 0.1632, 0.8368)
Nb (0.7500, 0.8368, 0.1632)
Tl (0.3469, 0.6905, 0.6515)
Tl (0.1531, 0.3485, 0.3095)
Tl (0.6531, 0.3095, 0.3485)
Tl (0.8469, 0.6515, 0.6905)
O (0.2253, 0.9296, 0.8460)
O (0.2747, 0.1540, 0.0704)
O (0.7747, 0.0704, 0.1540)
O (0.7253, 0.8460, 0.9296)
O (0.5130, 0.8002, 0.3421)
O (0.9870, 0.6579, 0.1998)
O (0.4870, 0.1998, 0.6579)
O (0.0130, 0.3421, 0.8002)
O (0.0938, 0.7605, 0.5501)
O (0.4062, 0.4499, 0.2395)
O (0.9062, 0.2395, 0.4499)
O (0.5938, 0.5501, 0.7605)